(1)
First-principles (PBE) data for a relaxed structure of Cs3I2Br2, as listed in Alexandria via LeMat-Bulk.

The value obtained for the density is 3.0 g/cm3. The final energy is -0.098 Ha/atom. For the formation energy without anion corrections, the calculation gives -1.372 eV/atom. For the total magnetic moment, the calculation gives 0.000 Bohr magnetons per cell.

abc: 7.1321 7.1321 11.6106
angles: 107.43 107.43 52.65
Atoms (fractional coordinates):
Cs1 0.0000 0.0000 0.0000
Cs2 0.2138 0.2138 0.6573
Cs3 0.7862 0.7862 0.3427
I1 0.2838 0.2838 0.0092
I2 0.7162 0.7162 0.9908
Br1 0.1174 0.1174 0.3339
Br2 0.8826 0.8826 0.6661



(2)
First-principles (PBE) data for a relaxed structure of Cs2I5Br4, as listed in Alexandria via LeMat-Bulk.

The value obtained for the density is 3.1 g/cm3. The final energy is -0.077 Ha/atom. For the formation energy without anion corrections, the calculation gives -0.641 eV/atom. For the total magnetic moment, the calculation gives 0.000 Bohr magnetons per cell.

abc: 10.8694 10.8694 12.8556
angles: 125.72 125.72 32.36
Atoms (fractional coordinates):
Cs1 0.0005 0.0005 0.2772
Cs2 0.9995 0.9995 0.7228
I1 0.1096 0.6084 0.3601
I2 0.3916 0.8904 0.6399
I3 0.5000 0.5000 0.0000
I4 0.6084 0.1096 0.3601
I5 0.8904 0.3916 0.6399
Br1 0.3860 0.3860 0.7360
Br2 0.3866 0.3866 0.0402
Br3 0.6134 0.6134 0.9598
Br4 0.6140 0.6140 0.2640



(3)
First-principles (PBE) data for a relaxed structure of Cs6I2Br3, as listed in Alexandria via LeMat-Bulk.

The value obtained for the density is 3.3 g/cm3. The final energy is -0.100 Ha/atom. For the formation energy without anion corrections, the calculation gives -1.510 eV/atom. For the total magnetic moment, the calculation gives 0.782 Bohr magnetons per cell.

abc: 9.2836 9.2836 9.3507
angles: 99.53 99.53 120.00
Atoms (fractional coordinates):
Cs1 0.0885 0.4202 0.7654
Cs2 0.2430 0.2430 0.2345
Cs3 0.4202 0.0885 0.7654
Cs4 0.5798 0.9115 0.2346
Cs5 0.7570 0.7570 0.7655
Cs6 0.9115 0.5798 0.2346
I1 0.3333 0.6667 0.5000
I2 0.6667 0.3333 0.5000
Br1 0.1670 0.8330 0.0000
Br2 0.5000 0.5000 0.0000
Br3 0.8330 0.1670 0.0000